# 1
{
  "formula": "LiVMo2O6",
  "functional": "GGA+U",
  "state": "optimized geometry",
  "e_tot_ry_per_atom": -0.5265,
  "sg": "P1",
  "cell": [[-5.119, 0.934, 0.292], [-3.252, -2.001, -3.616], [-3.351, -4.282, 1.628]],
  "species": ["Li", "V", "Mo", "Mo", "O", "O", "O", "O", "O", "O"],
  "fractional_positions": [[0.789, 0.784, 0.645], [0.322, 0.314, 0.044], [0.520, 0.517, 0.451], [0.011, 0.011, 0.966], [0.604, 0.255, 0.225], [0.244, 0.923, 0.220], [0.907, 0.609, 0.224], [0.396, 0.720, 0.752], [0.734, 0.126, 0.745], [0.135, 0.404, 0.744]]
}

=====

# 2
{
  "formula": "LiV2MoO8",
  "functional": "GGA+U",
  "state": "optimized geometry",
  "e_tot_ry_per_atom": -0.5164,
  "sg": "P-3m1",
  "cell": [[-1.694, 3.919, 3.944], [-2.659, -0.264, -5.162], [-3.630, -3.638, 2.056]],
  "species": ["Li", "V", "V", "Mo", "O", "O", "O", "O", "O", "O", "O", "O"],
  "fractional_positions": [[0.000, 0.000, 0.000], [0.667, 0.333, 0.355], [0.333, 0.667, 0.645], [0.000, 0.000, 0.500], [0.842, 0.158, 0.280], [0.842, 0.684, 0.280], [0.316, 0.158, 0.280], [0.684, 0.842, 0.720], [0.333, 0.667, 0.354], [0.667, 0.333, 0.646], [0.158, 0.842, 0.720], [0.158, 0.316, 0.720]]
}

=====

# 3
{
  "formula": "LiVMoO4",
  "functional": "GGA+U",
  "state": "optimized geometry",
  "e_tot_ry_per_atom": -0.5157,
  "sg": "Cmcm",
  "cell": [[-4.103, -3.267, -0.724], [3.863, -2.058, 2.979], [-2.814, 2.363, 5.282]],
  "species": ["Li", "Li", "V", "V", "Mo", "Mo", "O", "O", "O", "O", "O", "O", "O", "O"],
  "fractional_positions": [[0.841, 0.159, 0.250], [0.159, 0.841, 0.750], [0.158, 0.842, 0.250], [0.842, 0.158, 0.750], [0.500, 0.500, 0.500], [0.500, 0.500, 0.000], [0.247, 0.259, 0.750], [0.741, 0.753, 0.750], [0.727, 0.273, 0.993], [0.727, 0.273, 0.507], [0.273, 0.727, 0.007], [0.273, 0.727, 0.493], [0.753, 0.741, 0.250], [0.259, 0.247, 0.250]]
}

=====

# 4
{
  "formula": "Li2VMoO6",
  "functional": "GGA+U",
  "state": "optimized geometry",
  "e_tot_ry_per_atom": -0.4897,
  "sg": "P4mm",
  "cell": [[-2.549, -3.679, -0.721], [3.111, -1.345, -4.139], [3.144, -2.823, 3.281]],
  "species": ["Li", "Li", "V", "Mo", "O", "O", "O", "O", "O", "O"],
  "fractional_positions": [[0.896, 0.500, 0.000], [0.896, 0.000, 0.500], [0.611, 0.500, 0.500], [0.626, 0.000, 0.000], [0.732, 0.246, 0.246], [0.732, 0.246, 0.754], [0.248, 0.500, 0.500], [0.243, 0.000, 0.000], [0.732, 0.754, 0.754], [0.732, 0.754, 0.246]]
}